(1)
## MnTeIrN2 (PBE)

Data for MnTeIrN2 after structural relaxation.

CIF file:
```
data_MnTeIrN2
_space_group_name_H-M_alt 'P 4/m m m'
_space_group_IT_number 123
_space_group_name_Hall '-P 4 2'
_cell_length_a 3.6545
_cell_length_b 3.6545
_cell_length_c 5.7680
_cell_angle_alpha 90.00
_cell_angle_beta 90.00
_cell_angle_gamma 90.00
loop_
_atom_site_label
_atom_site_fract_x
_atom_site_fract_y
_atom_site_fract_z
Mn1 0.0000 0.0000 0.0000
Te1 0.0000 0.0000 0.5000
Ir1 0.5000 0.5000 0.5000
N1 0.0000 0.5000 0.0000
```

Fermi-level density of states (states/eV/cell): 3.8
Energy above the lowest structure with this stoichiometry (eV per atom): 0.159
Energy relative to the elements, uncorrected (eV/atom): 1.002

(2)
## Tb5InGe2 (PBE)

Data for Tb5InGe2 after structural relaxation.

CIF file:
```
data_Tb5InGe2
_space_group_name_H-M_alt 'I 4/m c m'
_space_group_IT_number 140
_space_group_name_Hall '-I 4 2c'
_cell_length_a 7.8680
_cell_length_b 7.8680
_cell_length_c 13.9186
_cell_angle_alpha 90.00
_cell_angle_beta 90.00
_cell_angle_gamma 90.00
loop_
_atom_site_label
_atom_site_fract_x
_atom_site_fract_y
_atom_site_fract_z
Tb1 0.0000 0.0000 0.0000
Tb2 0.1613 0.3387 0.1407
In1 0.0000 0.0000 0.2500
Ge1 0.1420 0.3580 0.5000
```

Fermi-level density of states (states/eV/cell): 24.8
Formation enthalpy at 0 K (eV per atom): -0.647

(3)
## Ca3SbP (PBE)

Data for Ca3SbP after structural relaxation.

CIF file:
```
data_Ca3SbP
_space_group_name_H-M_alt 'P m m a'
_space_group_IT_number 51
_cell_length_a 6.6019
_cell_length_b 5.3679
_cell_length_c 8.4144
_cell_angle_alpha 90.00
_cell_angle_beta 90.00
_cell_angle_gamma 90.00
loop_
_space_group_symop_operation_xyz
'x,y,z'
'-x,-y,-z'
'-x+1/2,-y,z'
'x+1/2,y,-z'
'x+1/2,-y,-z'
'-x+1/2,y,z'
'-x,y,-z'
'x,-y,z'
loop_
_atom_site_label
_atom_site_fract_x
_atom_site_fract_y
_atom_site_fract_z
Ca1 0.0000 0.0000 0.0000
Ca2 0.2500 0.0000 0.3769
Ca3 0.2500 0.5000 0.7645
Sb1 0.2500 0.5000 0.1614
P1 0.2500 0.0000 0.7062
```

Fermi-level density of states (states/eV/cell): 0.0
Energy above the lowest structure with this stoichiometry (eV per atom): 0.056
Energy relative to the elements, uncorrected (eV/atom): -1.038

(4)
## Ba3InAg2 (PBE)

Data for Ba3InAg2 after structural relaxation.

CIF file:
```
data_Ba3InAg2
_space_group_name_H-M_alt 'C m m m'
_space_group_IT_number 65
_space_group_name_Hall '-C 2 2'
_cell_length_a 5.9514
_cell_length_b 17.8546
_cell_length_c 4.1245
_cell_angle_alpha 90.00
_cell_angle_beta 90.00
_cell_angle_gamma 90.00
loop_
_atom_site_label
_atom_site_fract_x
_atom_site_fract_y
_atom_site_fract_z
Ba1 0.0000 0.0000 0.0000
Ba2 0.0000 0.3305 0.0000
In1 0.0000 0.5000 0.5000
Ag1 0.0000 0.1617 0.5000
```

Fermi-level density of states (states/eV/cell): 9.6
Formation enthalpy at 0 K (eV per atom): -0.288

(5)
## Tb2Ti2S2O5 (PBE)

Data for Tb2Ti2S2O5 after structural relaxation.

CIF file:
```
data_Tb2Ti2S2O5
_space_group_name_H-M_alt 'I 4/m m m'
_space_group_IT_number 139
_space_group_name_Hall '-I 4 2'
_cell_length_a 3.8048
_cell_length_b 3.8048
_cell_length_c 23.0447
_cell_angle_alpha 90.00
_cell_angle_beta 90.00
_cell_angle_gamma 90.00
loop_
_atom_site_label
_atom_site_fract_x
_atom_site_fract_y
_atom_site_fract_z
Tb1 0.0000 0.0000 0.1666
Ti1 0.0000 0.0000 0.4212
S1 0.0000 0.0000 0.2949
O1 0.0000 0.0000 0.5000
O2 0.0000 0.5000 0.0994
```

Energy relative to the elements, uncorrected (eV/atom): -2.905

(6)
## HoEr6Tm (PBE)

Data for HoEr6Tm after structural relaxation.

CIF file:
```
data_HoEr6Tm
_space_group_name_H-M_alt 'P -1'
_space_group_IT_number 2
_cell_length_a 6.0529
_cell_length_b 6.0564
_cell_length_c 6.9982
_cell_angle_alpha 106.74
_cell_angle_beta 90.01
_cell_angle_gamma 99.65
loop_
_space_group_symop_operation_xyz
'x,y,z'
'-x,-y,-z'
loop_
_atom_site_label
_atom_site_fract_x
_atom_site_fract_y
_atom_site_fract_z
Ho1 0.0000 0.0000 0.0000
Er1 0.2498 0.5000 0.3752
Er2 0.2502 0.4998 0.8748
Er3 0.5001 0.0002 0.2502
Tm1 0.0000 0.0000 0.5000
```

Fermi-level density of states (states/eV/cell): 11.1
Energy above the lowest structure with this stoichiometry (eV per atom): 0.000
Formation enthalpy at 0 K (eV per atom): 0.024